Entry 1:
# Mn2RhAu | the Alexandria database | GGA-PBEsol | optimized geometry
data_Mn2RhAu
_chemical_formula_sum 'Mn8 Rh4 Au4'
_cell_length_a 6.126
_cell_length_b 6.126
_cell_length_c 6.126
_cell_angle_alpha 90.00
_cell_angle_beta 90.00
_cell_angle_gamma 90.00
_symmetry_space_group_name_H-M 'F -4 3 m'
_symmetry_Int_Tables_number 216
_symmetry_space_group_name_Hall 'F -4 2 3'
loop_
_atom_site_label
_atom_site_type_symbol
_atom_site_fract_x
_atom_site_fract_y
_atom_site_fract_z
Mn1 Mn 0.000 0.000 0.000
Mn2 Mn 0.250 0.250 0.250
Rh1 Rh 0.250 0.250 0.750
Au1 Au 0.000 0.000 0.500
# electronic total energy	-7.6242	eV per atom
# energy of formation	1.088	eV per formula unit

***

Entry 2:
# MnRh2Au | the Alexandria database | GGA-PBEsol | optimized geometry
data_MnRh2Au
_chemical_formula_sum 'Mn3 Rh6 Au3'
_cell_length_a 2.7361
_cell_length_b 2.7361
_cell_length_c 26.2206
_cell_angle_alpha 90.00
_cell_angle_beta 90.00
_cell_angle_gamma 120.00
_symmetry_space_group_name_H-M 'R 3 m'
_symmetry_Int_Tables_number 160
_symmetry_space_group_name_Hall 'R 3 -2"'
loop_
_atom_site_label
_atom_site_type_symbol
_atom_site_fract_x
_atom_site_fract_y
_atom_site_fract_z
Mn1 Mn 0.0000 0.0000 0.0000
Rh1 Rh 0.0000 0.0000 0.4927
Rh2 Rh 0.0000 0.0000 0.7434
Au1 Au 0.0000 0.0000 0.2489
# electronic total energy	-7.3311	eV per atom
# energy of formation	0.638	eV per formula unit

***

Entry 3:
# MnRh2Au | the Alexandria database | GGA-PBEsol | optimized geometry
data_MnRh2Au
_chemical_formula_sum 'Mn2 Rh4 Au2'
_cell_length_a 2.848
_cell_length_b 4.576
_cell_length_c 8.814
_cell_angle_alpha 90.00
_cell_angle_beta 90.00
_cell_angle_gamma 90.00
_symmetry_space_group_name_H-M 'C m m m'
_symmetry_Int_Tables_number 65
_symmetry_space_group_name_Hall '-C 2 2'
loop_
_atom_site_label
_atom_site_type_symbol
_atom_site_fract_x
_atom_site_fract_y
_atom_site_fract_z
Mn1 Mn 0.000 0.000 0.000
Rh1 Rh 0.000 0.500 0.226
Au1 Au 0.000 0.000 0.500
# electronic total energy	-7.3260	eV per atom
# energy of formation	0.658	eV per formula unit

***

Entry 4:
# MnRhAu2 | the Alexandria database | GGA-PBEsol | optimized geometry
data_MnRhAu2
_chemical_formula_sum 'Mn1 Rh1 Au2'
_cell_length_a 3.186
_cell_length_b 3.186
_cell_length_c 5.996
_cell_angle_alpha 90.00
_cell_angle_beta 90.00
_cell_angle_gamma 90.00
_symmetry_space_group_name_H-M 'P 4 m m'
_symmetry_Int_Tables_number 99
loop_
_symmetry_equiv_pos_as_xyz
'x,y,z'
'-y,x,z'
'-x,-y,z'
'y,-x,z'
'-x,y,z'
'y,x,z'
'x,-y,z'
'-y,-x,z'
loop_
_atom_site_label
_atom_site_type_symbol
_atom_site_fract_x
_atom_site_fract_y
_atom_site_fract_z
Mn1 Mn 0.000 0.000 0.000
Rh1 Rh 0.500 0.500 0.203
Au1 Au 0.000 0.000 0.469
Au2 Au 0.500 0.500 0.744
# electronic total energy	-6.3992	eV per atom
# energy of formation	0.151	eV per formula unit

***

Entry 5:
# Mn2RhAu | the Alexandria database | GGA-PBEsol | optimized geometry
data_Mn2RhAu
_chemical_formula_sum 'Mn4 Rh2 Au2'
_cell_length_a 3.755
_cell_length_b 3.755
_cell_length_c 8.122
_cell_angle_alpha 90.00
_cell_angle_beta 90.00
_cell_angle_gamma 90.00
_symmetry_space_group_name_H-M 'I -4 m 2'
_symmetry_Int_Tables_number 119
_symmetry_space_group_name_Hall 'I -4 -2'
loop_
_atom_site_label
_atom_site_type_symbol
_atom_site_fract_x
_atom_site_fract_y
_atom_site_fract_z
Mn1 Mn 0.000 0.000 0.000
Mn2 Mn 0.000 0.500 0.250
Rh1 Rh 0.000 0.000 0.500
Au1 Au 0.000 0.500 0.750
# electronic total energy	-7.7717	eV per atom
# energy of formation	0.498	eV per formula unit

***

Entry 6:
# MnRhAu2 | the Alexandria database | GGA-PBEsol | optimized geometry
data_MnRhAu2
_chemical_formula_sum 'Mn4 Rh4 Au8'
_cell_length_a 6.264
_cell_length_b 6.264
_cell_length_c 6.264
_cell_angle_alpha 90.00
_cell_angle_beta 90.00
_cell_angle_gamma 90.00
_symmetry_space_group_name_H-M 'F -4 3 m'
_symmetry_Int_Tables_number 216
_symmetry_space_group_name_Hall 'F -4 2 3'
loop_
_atom_site_label
_atom_site_type_symbol
_atom_site_fract_x
_atom_site_fract_y
_atom_site_fract_z
Mn1 Mn 0.000 0.000 0.000
Rh1 Rh 0.250 0.250 0.750
Au1 Au 0.000 0.000 0.500
Au2 Au 0.250 0.250 0.250
# electronic total energy	-6.3358	eV per atom
# energy of formation	0.404	eV per formula unit

***

Entry 7:
# Mn2RhAu | the Alexandria database | GGA-PBEsol | optimized geometry
data_Mn2RhAu
_chemical_formula_sum 'Mn6 Rh3 Au3'
_cell_length_a 2.8090
_cell_length_b 2.8090
_cell_length_c 25.4174
_cell_angle_alpha 90.00
_cell_angle_beta 90.00
_cell_angle_gamma 120.00
_symmetry_space_group_name_H-M 'R -3 m'
_symmetry_Int_Tables_number 166
_symmetry_space_group_name_Hall '-R 3 2"'
loop_
_atom_site_label
_atom_site_type_symbol
_atom_site_fract_x
_atom_site_fract_y
_atom_site_fract_z
Mn1 Mn 0.0000 0.0000 0.2459
Rh1 Rh 0.0000 0.0000 0.5000
Au1 Au 0.0000 0.0000 0.0000
# electronic total energy	-7.6738	eV per atom
# energy of formation	0.890	eV per formula unit

***

Entry 8:
# MnRuAu2 | the Alexandria database | GGA-PBEsol | optimized geometry
data_MnRuAu2
_chemical_formula_sum 'Mn3 Ru3 Au6'
_cell_length_a 2.7945
_cell_length_b 2.7945
_cell_length_c 26.6566
_cell_angle_alpha 90.00
_cell_angle_beta 90.00
_cell_angle_gamma 120.00
_symmetry_space_group_name_H-M 'R 3 m'
_symmetry_Int_Tables_number 160
_symmetry_space_group_name_Hall 'R 3 -2"'
loop_
_atom_site_label
_atom_site_type_symbol
_atom_site_fract_x
_atom_site_fract_y
_atom_site_fract_z
Mn1 Mn 0.0000 0.0000 0.0000
Ru1 Ru 0.0000 0.0000 0.7366
Au1 Au 0.0000 0.0000 0.2515
Au2 Au 0.0000 0.0000 0.4920
# energy relative to the lowest polymorph listed for this composition	0	meV/atom
# electronic total energy	-6.7384	eV per atom
# energy of formation	0.828	eV per formula unit

***

Entry 9:
# MnRuAu2 | the Alexandria database | GGA-PBEsol | optimized geometry
data_MnRuAu2
_chemical_formula_sum 'Mn4 Ru4 Au8'
_cell_length_a 6.273
_cell_length_b 6.273
_cell_length_c 6.273
_cell_angle_alpha 90.00
_cell_angle_beta 90.00
_cell_angle_gamma 90.00
_symmetry_space_group_name_H-M 'F m -3 m'
_symmetry_Int_Tables_number 225
_symmetry_space_group_name_Hall '-F 4 2 3'
loop_
_atom_site_label
_atom_site_type_symbol
_atom_site_fract_x
_atom_site_fract_y
_atom_site_fract_z
Mn1 Mn 0.000 0.000 0.000
Ru1 Ru 0.000 0.000 0.500
Au1 Au 0.250 0.250 0.250
# energy relative to the lowest polymorph listed for this composition	191	meV/atom
# electronic total energy	-6.5478	eV per atom
# energy of formation	1.590	eV per formula unit

***

Entry 10:
# MnRu2Au | the Alexandria database | GGA-PBEsol | optimized geometry
data_MnRu2Au
_chemical_formula_sum 'Mn3 Ru6 Au3'
_cell_length_a 2.6721
_cell_length_b 2.6721
_cell_length_c 26.3541
_cell_angle_alpha 90.00
_cell_angle_beta 90.00
_cell_angle_gamma 120.00
_symmetry_space_group_name_H-M 'R -3 m'
_symmetry_Int_Tables_number 166
_symmetry_space_group_name_Hall '-R 3 2"'
loop_
_atom_site_label
_atom_site_type_symbol
_atom_site_fract_x
_atom_site_fract_y
_atom_site_fract_z
Mn1 Mn 0.0000 0.0000 0.0000
Ru1 Ru 0.0000 0.0000 0.2590
Au1 Au 0.0000 0.0000 0.5000
# electronic total energy	-8.2809	eV per atom
# energy of formation	0.907	eV per formula unit

***

Entry 11:
# MnRuAu2 | the Alexandria database | GGA-PBEsol | optimized geometry
data_MnRuAu2
_chemical_formula_sum 'Mn2 Ru2 Au4'
_cell_length_a 3.940
_cell_length_b 3.940
_cell_length_c 7.700
_cell_angle_alpha 90.00
_cell_angle_beta 90.00
_cell_angle_gamma 90.00
_symmetry_space_group_name_H-M 'I -4 m 2'
_symmetry_Int_Tables_number 119
_symmetry_space_group_name_Hall 'I -4 -2'
loop_
_atom_site_label
_atom_site_type_symbol
_atom_site_fract_x
_atom_site_fract_y
_atom_site_fract_z
Mn1 Mn 0.000 0.000 0.000
Ru1 Ru 0.000 0.500 0.250
Au1 Au 0.000 0.000 0.500
Au2 Au 0.000 0.500 0.750
# energy relative to the lowest polymorph listed for this composition	45	meV/atom
# electronic total energy	-6.6933	eV per atom
# energy of formation	1.008	eV per formula unit

***

Entry 12:
# MnAuS3 | the Alexandria database | GGA-PBEsol | optimized geometry
data_MnAuS3
_chemical_formula_sum 'Mn1 Au1 S3'
_cell_length_a 4.437
_cell_length_b 4.437
_cell_length_c 4.437
_cell_angle_alpha 90.00
_cell_angle_beta 90.00
_cell_angle_gamma 90.00
_symmetry_space_group_name_H-M 'P m -3 m'
_symmetry_Int_Tables_number 221
_symmetry_space_group_name_Hall '-P 4 2 3'
loop_
_atom_site_label
_atom_site_type_symbol
_atom_site_fract_x
_atom_site_fract_y
_atom_site_fract_z
Mn1 Mn 0.000 0.000 0.000
Au1 Au 0.500 0.500 0.500
S1 S 0.000 0.000 0.500
# raw formation energy	0.422	eV/atom
# electronic total energy	-4.9453	eV per atom

***

Entry 13:
# Mn3SbAu | the Alexandria database | GGA-PBEsol | optimized geometry
data_Mn3SbAu
_chemical_formula_sum 'Mn3 Sb1 Au1'
_cell_length_a 4.850
_cell_length_b 4.850
_cell_length_c 4.850
_cell_angle_alpha 90.00
_cell_angle_beta 90.00
_cell_angle_gamma 90.00
_symmetry_space_group_name_H-M 'P m -3 m'
_symmetry_Int_Tables_number 221
_symmetry_space_group_name_Hall '-P 4 2 3'
loop_
_atom_site_label
_atom_site_type_symbol
_atom_site_fract_x
_atom_site_fract_y
_atom_site_fract_z
Mn1 Mn 0.000 0.000 0.500
Sb1 Sb 0.000 0.000 0.000
Au1 Au 0.500 0.500 0.500
# raw formation energy	1.292	eV/atom
# electronic total energy	-6.2605	eV per atom

***

Entry 14:
# MnSbAu4 | the Alexandria database | GGA-PBEsol | optimized geometry
data_MnSbAu4
_chemical_formula_sum 'Mn4 Sb4 Au16'
_cell_length_a 7.708
_cell_length_b 7.708
_cell_length_c 7.708
_cell_angle_alpha 90.00
_cell_angle_beta 90.00
_cell_angle_gamma 90.00
_symmetry_space_group_name_H-M 'F -4 3 m'
_symmetry_Int_Tables_number 216
_symmetry_space_group_name_Hall 'F -4 2 3'
loop_
_atom_site_label
_atom_site_type_symbol
_atom_site_fract_x
_atom_site_fract_y
_atom_site_fract_z
Mn1 Mn 0.000 0.000 0.000
Sb1 Sb 0.250 0.250 0.250
Au1 Au 0.125 0.125 0.625
# raw formation energy	0.202	eV/atom
# electronic total energy	-4.8005	eV per atom

***

Entry 15:
# ScMnAu3 | the Alexandria database | GGA-PBEsol | optimized geometry
data_ScMnAu3
_chemical_formula_sum 'Sc1 Mn1 Au3'
_cell_length_a 4.754
_cell_length_b 4.754
_cell_length_c 4.754
_cell_angle_alpha 90.00
_cell_angle_beta 90.00
_cell_angle_gamma 90.00
_symmetry_space_group_name_H-M 'P m -3 m'
_symmetry_Int_Tables_number 221
_symmetry_space_group_name_Hall '-P 4 2 3'
loop_
_atom_site_label
_atom_site_type_symbol
_atom_site_fract_x
_atom_site_fract_y
_atom_site_fract_z
Sc1 Sc 0.000 0.000 0.000
Mn1 Mn 0.500 0.500 0.500
Au1 Au 0.000 0.500 0.500
# electronic total energy	-5.2072	eV per atom
# energy of formation	2.102	eV per formula unit